GeBIr2: relaxed, PBE.

**Fermi-level density of states**: 0.56 states/eV per atom
**ΔE_f**: -0.085 eV/atom
**V**: 54.2 Å³/f.u.

Unit cell a=5.329 b=5.329 c=5.329 alpha=39.11 beta=39.11 gamma=39.11
Sites, in units of the cell vectors:
Ge 0.000 0.000 0.000
B 0.832 0.832 0.832
Ir 0.236 0.236 0.236
Ir 0.438 0.438 0.438